No. 1
The following is a GGA-PBE calculation of a geometry-optimized Na3LiTa structure, from the Alexandria database.

Total DFT energy (no corrections): -2.146 eV per atom
DOS(E_F): 0.425 states/eV per atom
ΔH_f (0 K): 134.9 kJ/mol of atoms
Energy above the most stable polymorph in this dataset: 100 meV per atom

Lattice parameters (Å, degrees): 6.0089 6.0089 6.0089 90.00 90.00 90.00
With the nearest neighbours (Å) after each atom.
Element x y z (fractional)
Na (0.0000, 0.5000, 0.0000)  2 Ta 3.00
Na (0.0000, 0.0000, 0.5000)  2 Ta 3.00
Na (0.5000, 0.0000, 0.0000)  2 Ta 3.00
Li (0.5000, 0.5000, 0.5000)  12 Na 4.25
Ta (0.0000, 0.0000, 0.0000)  6 Na 3.00

No. 2
The following is a GGA-PBE calculation of a geometry-optimized Mg3InAu6 structure, from the Alexandria database.

Total DFT energy (no corrections): -3.147 eV per atom
DOS(E_F): 0.235 states/eV per atom
ΔH_f (0 K): -41.3 kJ/mol of atoms

Lattice parameters (Å, degrees): 4.7164 8.2055 10.0762 108.18 90.00 90.00
With the nearest neighbours (Å) after each atom.
Element x y z (fractional)
Mg (0.2500, 0.5481, 0.3845)  8 Au 2.76-2.94
Mg (0.7500, 0.4519, 0.6155)  8 Au 2.76-2.94
Mg (0.2500, 0.3510, 0.7913)  8 Au 2.81-2.88
Mg (0.7500, 0.6490, 0.2087)  8 Au 2.81-2.88
Mg (0.2500, 0.7650, 0.9855)  10 Au 2.85-3.03
Mg (0.7500, 0.2350, 0.0145)  10 Au 2.85-3.03
In (0.2500, 0.9395, 0.5925)  7 Au 2.80-2.97
In (0.7500, 0.0605, 0.4075)  7 Au 2.80-2.97
Au (0.2500, 0.4750, 0.0848)  7 Mg 2.81-3.01, 4 Au 2.95-3.08
Au (0.7500, 0.5250, 0.9152)  7 Mg 2.81-3.01, 4 Au 2.95-3.08
Au (0.2500, 0.1700, 0.1800)  8 Au 2.82-3.13, 3 Mg 3.03-3.14
Au (0.7500, 0.8300, 0.8200)  8 Au 2.82-3.13, 3 Mg 3.03-3.14
Au (0.2500, 0.6323, 0.6880)  5 Mg 2.76-2.92, 3 Au 2.94-3.00, 1 In 2.97
Au (0.7500, 0.3677, 0.3120)  5 Mg 2.76-2.92, 3 Au 2.94-3.00, 1 In 2.97
Au (0.2500, 0.2718, 0.4925)  4 Mg 2.80-2.88, 2 In 2.89, 2 Au 3.00
Au (0.7500, 0.7282, 0.5075)  4 Mg 2.80-2.88, 2 In 2.89, 2 Au 3.00
Au (0.2500, 0.8471, 0.2831)  4 Mg 2.83-2.94, 3 In 2.97, 4 Au 3.08-3.13
Au (0.7500, 0.1529, 0.7169)  4 Mg 2.83-2.94, 3 In 2.97, 4 Au 3.08-3.13
Au (0.2500, 0.0596, 0.8849)  1 In 2.80, 5 Au 2.82-3.13, 4 Mg 2.83-2.90
Au (0.7500, 0.9404, 0.1151)  1 In 2.80, 5 Au 2.82-3.13, 4 Mg 2.83-2.90

No. 3
The following is a GGA-PBE calculation of a geometry-optimized AgGeAs structure, from the Alexandria database.

Total DFT energy (no corrections): -3.770 eV per atom
DOS(E_F): 0.257 states/eV per atom
ΔH_f (0 K): 26.0 kJ/mol of atoms
Energy above the most stable polymorph in this dataset: 0 meV per atom

Lattice parameters (Å, degrees): 3.7031 3.7031 5.0376 111.56 111.56 90.00
With the nearest neighbours (Å) after each atom.
Element x y z (fractional)
As (0.2673, 0.2673, 0.5346)  5 Ag 2.73-3.05, 4 Ge 2.86
Ge (0.6328, 0.6328, 0.2655)  5 Ag 2.73-3.05, 4 As 2.86
Ag (0.9499, 0.9499, 0.8999)  5 Ge 2.73-3.05, 5 As 2.73-3.05

No. 4
The following is a GGA-PBE calculation of a geometry-optimized Sr3PmY3Te8 structure, from the Alexandria database.

Total DFT energy (no corrections): -5.154 eV per atom
DOS(E_F): 0.353 states/eV per atom

Lattice parameters (Å, degrees): 8.9129 8.9127 9.1899 119.01 90.00 120.00
With the nearest neighbours (Å) after each atom.
Element x y z (fractional)
Sr (0.0000, 0.0000, 0.0000)  6 Te 3.29-3.30
Sr (0.0000, 0.5000, 0.0000)  6 Te 3.29-3.30
Sr (0.5000, 0.5000, 0.0000)  6 Te 3.29-3.30
Pm (0.0000, 0.0000, 0.5000)  6 Te 3.20
Y (0.5000, 0.0000, 0.5000)  6 Te 3.10-3.12
Y (0.5000, 0.5000, 0.5000)  6 Te 3.10-3.12
Y (0.0000, 0.5000, 0.5000)  6 Te 3.10-3.12
Te (0.2562, 0.5124, 0.2686)  3 Y 3.12, 3 Sr 3.29
Te (0.7438, 0.4876, 0.7314)  3 Y 3.12, 3 Sr 3.29
Te (0.7499, 0.4999, 0.2648)  2 Y 3.10, 1 Pm 3.20, 2 Sr 3.30
Te (0.2501, 0.5001, 0.7352)  2 Y 3.10, 1 Pm 3.20, 2 Sr 3.30
Te (0.7499, 0.0149, 0.2648)  2 Y 3.10, 1 Pm 3.20, 2 Sr 3.30
Te (0.2501, 0.9851, 0.7352)  2 Y 3.10, 1 Pm 3.20, 2 Sr 3.30
Te (0.2649, 0.0149, 0.2648)  2 Y 3.10, 1 Pm 3.20, 2 Sr 3.30
Te (0.7351, 0.9851, 0.7352)  2 Y 3.10, 1 Pm 3.20, 2 Sr 3.30